Record 1
# PH2S | Alexandria | PBE | optimized geometry
# * spin magnetization: 0.00 μB per formula unit
# * symmetry: Fm-3m
# * E above lowest polymorph: 0.959 eV per atom
data_PH2S
_symmetry_space_group_name_H-M 'P 1'
_symmetry_Int_Tables_number 1
_cell_length_a 3.6647
_cell_length_b 3.6647
_cell_length_c 3.6647
_cell_angle_alpha 60.00
_cell_angle_beta 60.00
_cell_angle_gamma 60.00
loop_
_symmetry_equiv_pos_as_xyz
'x,y,z'
loop_
_atom_site_label
_atom_site_fract_x
_atom_site_fract_y
_atom_site_fract_z
P1 0.0000 0.0000 0.0000
H1 0.2500 0.2500 0.2500
H2 0.7500 0.7500 0.7500
S1 0.5000 0.5000 0.5000

***

Record 2
# SrPPt3 | Alexandria | PBE | optimized geometry
# * spin magnetization: 0.00 μB per formula unit
# * ΔH_f (0 K): -4.095 eV per formula unit
# * symmetry: Cmcm
# * E above lowest polymorph: 0.000 eV per atom
data_SrPPt3
_symmetry_space_group_name_H-M 'P 1'
_symmetry_Int_Tables_number 1
_cell_length_a 6.1062
_cell_length_b 6.1062
_cell_length_c 6.0586
_cell_angle_alpha 90.00
_cell_angle_beta 90.00
_cell_angle_gamma 123.68
loop_
_symmetry_equiv_pos_as_xyz
'x,y,z'
loop_
_atom_site_label
_atom_site_fract_x
_atom_site_fract_y
_atom_site_fract_z
Sr1 0.2476 0.7524 0.7500
Sr2 0.7524 0.2476 0.2500
P1 0.1068 0.8932 0.2500
P2 0.8932 0.1068 0.7500
Pt1 0.2537 0.2537 0.0000
Pt2 0.2537 0.2537 0.5000
Pt3 0.3166 0.6834 0.2500
Pt4 0.6834 0.3166 0.7500
Pt5 0.7463 0.7463 0.0000
Pt6 0.7463 0.7463 0.5000

***

Record 3
# NbV3I | Alexandria | PBE | optimized geometry
# * spin magnetization: 0.00 μB per formula unit
# * formation energy from raw total energies: 1527 meV per atom
# * symmetry: Pm-3m
# * E above lowest polymorph: 0.000 eV per atom
data_NbV3I
_symmetry_space_group_name_H-M 'P 1'
_symmetry_Int_Tables_number 1
_cell_length_a 4.7333
_cell_length_b 4.7333
_cell_length_c 4.7333
_cell_angle_alpha 90.00
_cell_angle_beta 90.00
_cell_angle_gamma 90.00
loop_
_symmetry_equiv_pos_as_xyz
'x,y,z'
loop_
_atom_site_label
_atom_site_fract_x
_atom_site_fract_y
_atom_site_fract_z
Nb1 0.0000 0.0000 0.0000
V1 0.0000 0.0000 0.5000
V2 0.0000 0.5000 0.0000
V3 0.5000 0.0000 0.0000
I1 0.5000 0.5000 0.5000